# SrCaLa2Os

Crystalline SrCaLa2Os at its relaxed geometry (PBE, Alexandria). Values from VASP.

Theoretical density: 5.1 Mg/m³
Energy relative to the elements: 0.08 eV/f.u.
Total DFT energy (no corrections): -24.7 eV per cell
Energy above the lowest structure with this stoichiometry: 0.23 eV per formula unit

```
&SYSTEM
  ibrav = 0, nat = 5, ntyp = 4
/
ATOMIC_SPECIES
Sr 87.62 Sr.upf
Ca 40.08 Ca.upf
La 138.91 La.upf
Os 190.23 Os.upf
CELL_PARAMETERS angstrom
5.614 0.000 0.000
0.000 5.614 0.000
0.000 0.000 6.161
ATOMIC_POSITIONS angstrom
Sr 0.000 0.000 0.000
Ca 2.807 2.807 0.000
La 0.000 2.807 3.080
La 2.807 0.000 3.080
Os 0.000 0.000 3.080
```